--- 1 ---
Here is a geometry-optimized KLiZn2 structure from Alexandria via LeMat-Bulk. Energies are from PBE.

Summary:
Space group: I4_1/amd, No. 141
Theoretical density: 2.5 g cm⁻³
Spin magnetization: 0.00 Bohr magnetons per cell

a = 4.942 Å, b = 4.942 Å, c = 10.359 Å
α = 76.20°, β = 76.20°, γ = 90.00°
Element x y z (fractional)
Li 0.250 0.750 0.500
Zn 0.375 0.625 0.750
Li 0.500 0.500 0.000
Zn 0.875 0.625 0.750
Zn 0.375 0.625 0.250
K 0.000 0.000 0.000
K 0.750 0.250 0.500
Zn 0.375 0.125 0.250


--- 2 ---
Here is a geometry-optimized KLiZn2 structure from Alexandria via LeMat-Bulk. Energies are from PBE.

Summary:
Space group: Fm-3m, No. 225
Theoretical density: 2.8 g cm⁻³
Spin magnetization: 0.00 Bohr magnetons per cell

a = 5.302 Å, b = 5.302 Å, c = 5.302 Å
α = 60.00°, β = 60.00°, γ = 60.00°
Element x y z (fractional)
Zn 0.750 0.750 0.750
Zn 0.250 0.250 0.250
Li 0.000 0.000 0.000
K 0.500 0.500 0.500


Least stable: 2


--- 1 ---
Here is a geometry-optimized KLiZn2 structure from Alexandria via LeMat-Bulk. Energies are from PBE.

Summary:
Space group: I-4m2, No. 119
Theoretical density: 3.1 g cm⁻³
Spin magnetization: 0.00 Bohr magnetons per cell

a = 5.107 Å, b = 5.107 Å, c = 5.107 Å
α = 118.52°, β = 118.52°, γ = 92.59°
Element x y z (fractional)
Li 0.750 0.250 0.500
K 0.500 0.500 0.000
Zn 0.250 0.750 0.500
Zn 0.000 0.000 0.000


--- 2 ---
Here is a geometry-optimized KLiZn2 structure from Alexandria via LeMat-Bulk. Energies are from PBE.

Summary:
Space group: P4mm, No. 99
Theoretical density: 3.0 g cm⁻³
Spin magnetization: 0.00 Bohr magnetons per cell

a = 3.427 Å, b = 3.427 Å, c = 8.425 Å
α = 90.00°, β = 90.00°, γ = 90.00°
Element x y z (fractional)
Li 0.500 0.500 0.843
Zn 0.000 0.000 0.021
K 0.000 0.000 0.469
Zn 0.500 0.500 0.167


--- 3 ---
Here is a geometry-optimized KLiZn2 structure from Alexandria via LeMat-Bulk. Energies are from PBE.

Summary:
Space group: Cmmm, No. 65
Theoretical density: 2.9 g cm⁻³
Spin magnetization: 0.00 Bohr magnetons per cell

a = 5.626 Å, b = 5.626 Å, c = 3.290 Å
α = 89.99°, β = 89.99°, γ = 101.01°
Element x y z (fractional)
Zn 0.500 0.500 0.000
Zn 0.000 0.000 0.000
Li 0.000 0.500 0.500
K 0.500 0.000 0.500


--- 4 ---
Here is a geometry-optimized KLiZn2 structure from Alexandria via LeMat-Bulk. Energies are from PBE.

Summary:
Space group: P4/mmm, No. 123
Theoretical density: 2.8 g cm⁻³
Spin magnetization: 0.00 Bohr magnetons per cell

a = 4.893 Å, b = 4.891 Å, c = 4.419 Å
α = 90.00°, β = 90.00°, γ = 90.00°
Element x y z (fractional)
K 0.500 0.000 0.500
Zn 0.500 0.500 0.000
Li 0.000 0.500 0.500
Zn 0.000 0.000 0.000


Least stable: 4


--- 1 ---
Here is a geometry-optimized KLi3Zn structure from Alexandria via LeMat-Bulk. Energies are from PBE.

Summary:
Space group: Pm-3m, No. 221
Theoretical density: 1.4 g cm⁻³
Spin magnetization: 0.00 Bohr magnetons per cell

a = 5.241 Å, b = 5.241 Å, c = 5.241 Å
α = 90.00°, β = 90.00°, γ = 90.00°
Element x y z (fractional)
Li 0.500 0.000 0.000
Li 0.000 0.000 0.500
Li 0.000 0.500 0.000
K 0.500 0.500 0.500
Zn 0.000 0.000 0.000


--- 2 ---
Here is a geometry-optimized KLi3Zn structure from Alexandria via LeMat-Bulk. Energies are from PBE.

Summary:
Space group: Pm-3m, No. 221
Theoretical density: 1.2 g cm⁻³
Spin magnetization: 0.00 Bohr magnetons per cell

a = 5.590 Å, b = 5.590 Å, c = 5.590 Å
α = 90.00°, β = 90.00°, γ = 90.00°
Element x y z (fractional)
K 0.000 0.000 0.000
Li 0.000 0.500 0.000
Zn 0.500 0.500 0.500
Li 0.000 0.000 0.500
Li 0.500 0.000 0.000


Least stable: 2


--- 1 ---
Here is a geometry-optimized KLiZn3 structure from Alexandria via LeMat-Bulk. Energies are from PBE.

Summary:
Space group: Pm-3m, No. 221
Theoretical density: 1.8 g cm⁻³
Spin magnetization: 0.00 Bohr magnetons per cell

a = 6.082 Å, b = 6.082 Å, c = 6.082 Å
α = 90.00°, β = 90.00°, γ = 90.00°
Element x y z (fractional)
Zn 0.000 0.500 0.000
Li 0.500 0.500 0.500
Zn 0.500 0.000 0.000
Zn 0.000 0.000 0.500
K 0.000 0.000 0.000


--- 2 ---
Here is a geometry-optimized KLiZn3 structure from Alexandria via LeMat-Bulk. Energies are from PBE.

Summary:
Space group: Pm-3m, No. 221
Theoretical density: 3.2 g cm⁻³
Spin magnetization: 0.00 Bohr magnetons per cell

a = 4.997 Å, b = 4.997 Å, c = 4.997 Å
α = 90.00°, β = 90.00°, γ = 90.00°
Element x y z (fractional)
K 0.500 0.500 0.500
Zn 0.000 0.000 0.500
Zn 0.000 0.500 0.000
Zn 0.500 0.000 0.000
Li 0.000 0.000 0.000


Least stable: 1


--- 1 ---
Here is a geometry-optimized KLiZr structure from Alexandria via LeMat-Bulk. Energies are from PBE.

Summary:
Space group: Fmm2, No. 42
Theoretical density: 2.6 g cm⁻³
Spin magnetization: 0.00 Bohr magnetons per cell

a = 9.853 Å, b = 9.634 Å, c = 3.171 Å
α = 84.56°, β = 76.76°, γ = 18.69°
Element x y z (fractional)
K 0.001 0.001 0.999
Li 0.318 0.318 0.682
Zr 0.681 0.681 0.319


--- 2 ---
Here is a geometry-optimized KLiZr structure from Alexandria via LeMat-Bulk. Energies are from PBE.

Summary:
Space group: F-43m, No. 216
Theoretical density: 2.1 g cm⁻³
Spin magnetization: 2.82 Bohr magnetons per cell

a = 5.368 Å, b = 5.368 Å, c = 5.368 Å
α = 60.00°, β = 60.00°, γ = 60.00°
Last column: magnetic moment on the atom in μB.
Element x y z (fractional)
Zr 0.000 0.000 0.000  1.43
Li 0.750 0.750 0.750  0.06
K 0.500 0.500 0.500  0.04


--- 3 ---
Here is a geometry-optimized KLiZr structure from Alexandria via LeMat-Bulk. Energies are from PBE.

Summary:
Space group: F-43m, No. 216
Theoretical density: 1.9 g cm⁻³
Spin magnetization: 2.99 Bohr magnetons per cell

a = 5.530 Å, b = 5.530 Å, c = 5.530 Å
α = 60.00°, β = 60.00°, γ = 60.00°
Last column: magnetic moment on the atom in μB.
Element x y z (fractional)
K 0.750 0.750 0.750  0.05
Zr 0.500 0.500 0.500  1.58
Li 0.000 0.000 0.000  0.01


--- 4 ---
Here is a geometry-optimized KLiZr structure from Alexandria via LeMat-Bulk. Energies are from PBE.

Summary:
Space group: Imm2, No. 44
Theoretical density: 2.6 g cm⁻³
Spin magnetization: 0.18 Bohr magnetons per cell

a = 8.896 Å, b = 8.896 Å, c = 8.896 Å
α = 159.66°, β = 159.29°, γ = 29.19°
Last column: magnetic moment on the atom in μB.
Element x y z (fractional)
Zr 0.689 0.689 0.000  0.10
Li 0.314 0.314 0.000  0.01
K 0.997 0.997 0.000  0.00


Least stable: 3


--- 1 ---
Here is a geometry-optimized K2LiZr structure from Alexandria via LeMat-Bulk. Energies are from PBE.

Summary:
Space group: P4mm, No. 99
Theoretical density: 2.0 g cm⁻³
Spin magnetization: 1.60 Bohr magnetons per cell

a = 3.511 Å, b = 3.514 Å, c = 11.777 Å
α = 90.00°, β = 90.00°, γ = 90.00°
Last column: magnetic moment on the atom in μB.
Element x y z (fractional)
K 0.000 0.000 0.957  0.02
Zr 0.500 0.500 0.691  0.80
Li 0.000 0.000 0.540  0.03
K 0.500 0.500 0.312  0.00


--- 2 ---
Here is a geometry-optimized K2LiZr structure from Alexandria via LeMat-Bulk. Energies are from PBE.

Summary:
Space group: P4/mmm, No. 123
Theoretical density: 2.0 g cm⁻³
Spin magnetization: 3.23 Bohr magnetons per cell

a = 6.289 Å, b = 4.864 Å, c = 4.864 Å
α = 90.00°, β = 90.00°, γ = 90.00°
Last column: magnetic moment on the atom in μB.
Element x y z (fractional)
K 0.000 0.000 0.000  0.03
Zr 0.500 0.000 0.500  1.49
Li 0.500 0.500 0.000  0.05
K 0.000 0.500 0.500  0.03


--- 3 ---
Here is a geometry-optimized K2LiZr structure from Alexandria via LeMat-Bulk. Energies are from PBE.

Summary:
Space group: I-42d, No. 122
Theoretical density: 1.8 g cm⁻³
Spin magnetization: 6.46 Bohr magnetons per cell

a = 9.743 Å, b = 9.743 Å, c = 7.675 Å
α = 50.60°, β = 50.60°, γ = 90.00°
Last column: magnetic moment on the atom in μB.
Element x y z (fractional)
Li 0.500 0.500 0.000  0.02
Zr 0.000 0.000 0.000  1.57
K 0.588 0.125 0.250  0.03
K 0.162 0.625 0.250  0.03
K 0.375 0.412 0.750  0.03
K 0.875 0.838 0.750  0.03
Zr 0.750 0.250 0.500  1.57
Li 0.250 0.750 0.500  0.02


Least stable: 3


--- 1 ---
Here is a geometry-optimized K2LiZr structure from Alexandria via LeMat-Bulk. Energies are from PBE.

Summary:
Space group: Cmm2, No. 35
Theoretical density: 2.1 g cm⁻³
Spin magnetization: 1.06 Bohr magnetons per cell

a = 3.417 Å, b = 3.417 Å, c = 12.485 Å
α = 90.00°, β = 90.00°, γ = 101.99°
Last column: magnetic moment on the atom in μB.
Element x y z (fractional)
Zr 0.500 0.500 0.703  0.60
Li 0.000 0.000 0.536  0.02
K 0.000 0.000 0.963  0.00
K 0.500 0.500 0.298  0.00


--- 2 ---
Here is a geometry-optimized K2LiZr structure from Alexandria via LeMat-Bulk. Energies are from PBE.

Summary:
Space group: Cm, No. 8
Theoretical density: 1.9 g cm⁻³
Spin magnetization: 0.48 Bohr magnetons per cell

a = 5.249 Å, b = 5.249 Å, c = 9.919 Å
α = 88.15°, β = 88.15°, γ = 34.53°
Last column: magnetic moment on the atom in μB.
Element x y z (fractional)
Zr 0.758 0.758 0.683  0.23
K 0.244 0.244 0.316  0.00
Li 0.493 0.493 0.559  0.01
K 0.005 0.005 0.942  0.01


--- 3 ---
Here is a geometry-optimized K2LiZr structure from Alexandria via LeMat-Bulk. Energies are from PBE.

Summary:
Space group: I-4m2, No. 119
Theoretical density: 1.9 g cm⁻³
Spin magnetization: 3.41 Bohr magnetons per cell

a = 6.042 Å, b = 6.042 Å, c = 6.042 Å
α = 120.20°, β = 120.20°, γ = 89.66°
Last column: magnetic moment on the atom in μB.
Element x y z (fractional)
K 0.000 0.000 0.000  0.04
Li 0.500 0.500 0.000  0.02
Zr 0.750 0.250 0.500  1.59
K 0.250 0.750 0.500  0.03


Least stable: 3


--- 1 ---
Here is a geometry-optimized K2LiZr structure from Alexandria via LeMat-Bulk. Energies are from PBE.

Summary:
Space group: R-3m, No. 166
Theoretical density: 2.1 g cm⁻³
Spin magnetization: 1.55 Bohr magnetons per cell

a = 13.524 Å, b = 13.524 Å, c = 13.524 Å
α = 14.62°, β = 14.62°, γ = 14.62°
Last column: magnetic moment on the atom in μB.
Element x y z (fractional)
K 0.500 0.500 0.500  0.02
Li 0.750 0.750 0.750  0.04
K 0.000 0.000 0.000  0.02
Zr 0.250 0.250 0.250  0.54


--- 2 ---
Here is a geometry-optimized K2LiZr structure from Alexandria via LeMat-Bulk. Energies are from PBE.

Summary:
Space group: P4/mmm, No. 123
Theoretical density: 2.1 g cm⁻³
Spin magnetization: 0.83 Bohr magnetons per cell

a = 3.309 Å, b = 3.309 Å, c = 12.879 Å
α = 90.00°, β = 90.00°, γ = 90.00°
Last column: magnetic moment on the atom in μB.
Element x y z (fractional)
K 0.000 0.000 0.502  0.01
K 0.000 0.000 0.998  0.01
Li 0.500 0.500 0.250  0.00
Zr 0.500 0.500 0.750  0.41


--- 3 ---
Here is a geometry-optimized K2LiZr structure from Alexandria via LeMat-Bulk. Energies are from PBE.

Summary:
Space group: Immm, No. 71
Theoretical density: 1.8 g cm⁻³
Spin magnetization: 0.00 Bohr magnetons per cell

a = 10.500 Å, b = 10.500 Å, c = 10.500 Å
α = 162.55°, β = 152.75°, γ = 32.54°
Element x y z (fractional)
K 0.596 0.596 0.000
Li 0.750 0.250 0.500
K 0.904 0.904 0.000
Zr 0.250 0.750 0.500


Least stable: 2


--- 1 ---
Here is a geometry-optimized KLiZr3 structure from Alexandria via LeMat-Bulk. Energies are from PBE.

Summary:
Space group: Pm-3m, No. 221
Theoretical density: 4.1 g cm⁻³
Spin magnetization: 1.28 Bohr magnetons per cell

a = 5.055 Å, b = 5.055 Å, c = 5.055 Å
α = 90.00°, β = 90.00°, γ = 90.00°
Last column: magnetic moment on the atom in μB.
Element x y z (fractional)
Zr 0.500 0.000 0.000  0.16
Zr 0.000 0.000 0.500  0.41
Li 0.500 0.500 0.500  0.00
Zr 0.000 0.500 0.000  0.26
K 0.000 0.000 0.000  0.17


--- 2 ---
Here is a geometry-optimized KLiZr3 structure from Alexandria via LeMat-Bulk. Energies are from PBE.

Summary:
Space group: Pm-3m, No. 221
Theoretical density: 4.1 g cm⁻³
Spin magnetization: 0.00 Bohr magnetons per cell

a = 5.064 Å, b = 5.064 Å, c = 5.064 Å
α = 90.00°, β = 90.00°, γ = 90.00°
Element x y z (fractional)
Zr 0.000 0.000 0.500
Zr 0.500 0.000 0.000
K 0.500 0.500 0.500
Zr 0.000 0.500 0.000
Li 0.000 0.000 0.000


Least stable: 1


--- 1 ---
Here is a geometry-optimized KLi2Zr2 structure from Alexandria via LeMat-Bulk. Energies are from PBE.

Summary:
Space group: I4/mmm, No. 139
Theoretical density: 2.7 g cm⁻³
Spin magnetization: 0.65 Bohr magnetons per cell

a = 4.608 Å, b = 4.608 Å, c = 7.555 Å
α = 72.24°, β = 72.24°, γ = 90.00°
Last column: magnetic moment on the atom in μB.
Element x y z (fractional)
K 0.000 0.000 0.000  0.00
Li 0.750 0.250 0.500  0.00
Zr 0.411 0.411 0.178  0.26
Li 0.250 0.750 0.500  0.00
Zr 0.589 0.589 0.822  0.26


--- 2 ---
Here is a geometry-optimized KLi2Zr2 structure from Alexandria via LeMat-Bulk. Energies are from PBE.

Summary:
Space group: P4/mbm, No. 127
Theoretical density: 3.0 g cm⁻³
Spin magnetization: 0.00 Bohr magnetons per cell

a = 9.519 Å, b = 9.519 Å, c = 2.901 Å
α = 90.00°, β = 90.00°, γ = 90.00°
Element x y z (fractional)
Li 0.179 0.679 0.500
K 0.500 0.500 0.000
Zr 0.611 0.111 0.000
Li 0.821 0.321 0.500
Li 0.679 0.821 0.500
Zr 0.389 0.889 0.000
Zr 0.889 0.611 0.000
K 0.000 0.000 0.000
Zr 0.111 0.389 0.000
Li 0.321 0.179 0.500


Least stable: 1


--- 1 ---
Here is a geometry-optimized KMg4 structure from Alexandria via LeMat-Bulk. Energies are from PBE.

Summary:
Space group: Pm-3m, No. 221
Theoretical density: 0.9 g cm⁻³
Spin magnetization: 0.00 Bohr magnetons per cell

a = 6.321 Å, b = 6.321 Å, c = 6.321 Å
α = 90.00°, β = 90.00°, γ = 90.00°
Element x y z (fractional)
Mg 0.500 0.000 0.500
Mg 0.000 0.500 0.500
K 0.500 0.500 0.500
Mg 0.000 0.000 0.000
Mg 0.500 0.500 0.000


--- 2 ---
Here is a geometry-optimized KMg4 structure from Alexandria via LeMat-Bulk. Energies are from PBE.

Summary:
Space group: I4/m, No. 87
Theoretical density: 1.6 g cm⁻³
Spin magnetization: 0.00 Bohr magnetons per cell

a = 5.866 Å, b = 5.866 Å, c = 5.866 Å
α = 101.85°, β = 101.85°, γ = 126.12°
Element x y z (fractional)
Mg 0.195 0.554 0.749
Mg 0.805 0.446 0.251
Mg 0.446 0.195 0.641
K 0.000 0.000 0.000
Mg 0.554 0.805 0.359


Least stable: 1